1.
A relaxed structure of CaTeSeBr2. Source: Alexandria via LeMat-Bulk, functional PBE.

```
5
Lattice="-5.1453 0.9499 -2.2049 1.1601 -3.5816 -4.2502 -2.0501 -4.1961 2.9764" Properties=species:S:1:pos:R:3 pbc="T T T"
Ca -3.0176 -3.4139 -1.7393
Te 0.0000 0.0000 0.0000
Se -1.0251 -2.0981 1.4882
Br -2.5726 0.4749 -1.1024
Br 0.5801 -1.7908 -2.1251
```

Calculated values
**Formation energy from raw total energies**: -411.5 meV/atom
**DFT total energy**: -14.0 eV per cell
**Symmetry**: No. 123

2.
A relaxed structure of TbNdHf. Source: Alexandria via LeMat-Bulk, functional PBE.

```
6
Lattice="-0.8686 2.9042 -2.2388 -2.5527 -2.1306 -1.7735 -8.9374 3.7608 8.3463" Properties=species:S:1:pos:R:3 pbc="T T T"
Tb -3.0815 -0.3057 0.7990
Tb -7.5666 4.4533 5.5412
Nd -6.6137 1.1806 4.0976
Nd -4.0344 2.9670 2.2426
Hf -9.7588 2.5040 7.0347
Hf -0.8892 1.6435 -0.6946
```

Calculated values
**Calculated formation energy**: 0.35 eV per formula unit
**DFT total energy**: -38.0 eV per cell
**Symmetry**: No. 129

3.
A relaxed structure of ZrBeCl. Source: Alexandria via LeMat-Bulk, functional PBE.

```
3
Lattice="-2.4461 -3.1559 -1.3687 0.9207 -1.9666 -3.6196 1.4419 -3.9666 0.0608" Properties=species:S:1:pos:R:3 pbc="T T T"
Be -0.0417 -4.5445 -2.4637
Zr 0.0000 0.0000 0.0000
Cl -0.0626 -6.8168 -3.6956
```

Calculated values
**Formation energy from raw total energies**: 373.7 meV/atom
**DFT total energy**: -13.0 eV per cell
**Symmetry**: No. 216

4.
A relaxed structure of YGaS3. Source: Alexandria via LeMat-Bulk, functional PBE.

```
5
Lattice="4.6834 0.0000 0.0000 0.0000 4.6834 0.0000 0.0000 0.0000 4.6834" Properties=species:S:1:pos:R:3 pbc="T T T"
Ga 0.0000 0.0000 0.0000
S 2.3417 0.0000 0.0000
S 0.0000 0.0000 2.3417
S 0.0000 2.3417 0.0000
Y 2.3417 2.3417 2.3417
```

Calculated values
**Formation energy from raw total energies**: -748.3 meV/atom
**DFT total energy**: -25.6 eV per cell
**Symmetry**: No. 221